[1]
Here is a geometry-optimized BaMg2Cu structure from Alexandria via LeMat-Bulk. Energies are from PBE.

Results
formation energy = -17 meV/atom
density of states at the Fermi level = 4.39 states/eV per cell

Lattice parameters (Å, degrees): 8.297 4.787 6.584 90.00 114.71 90.00
Space group Cm (No. 8)
Unique sites:
Ba (0.000, 0.000, 0.000) x2
Mg (0.196, 0.000, 0.590) x2
Mg (0.477, 0.000, 0.430) x2
Cu (0.313, 0.500, 0.438) x2

=====

[2]
Here is a geometry-optimized Ba5Si2Ag structure from Alexandria via LeMat-Bulk. Energies are from PBE.

Results
energy relative to the elements, uncorrected = -280.6 meV per atom
density of states at the Fermi level = 25.59 states/eV per cell

Lattice parameters (Å, degrees): 8.568 8.568 17.394 90.00 90.00 90.00
Space group I4/mcm (No. 140)
Unique sites:
Ba (0.000, 0.000, 0.000) x4
Ba (0.176, 0.324, 0.137) x16
Si (0.101, 0.399, 0.500) x8
Ag (0.000, 0.000, 0.250) x4

=====

[3]
Here is a geometry-optimized LaGaAs2 structure from Alexandria via LeMat-Bulk. Energies are from PBE.

Results
formation energy = -741 meV/atom
density of states at the Fermi level = 0.58 states/eV per cell

Lattice parameters (Å, degrees): 7.268 7.268 7.889 90.00 90.00 90.00
Space group I-42d (No. 122)
Unique sites:
La (0.000, 0.000, 0.000) x4
Ga (0.000, 0.000, 0.500) x4
As (0.189, 0.250, 0.625) x8

=====

[4]
Here is a geometry-optimized InTe structure from Alexandria via LeMat-Bulk. Energies are from PBE.

Results
energy relative to the elements, uncorrected = -225.4 meV per atom
density of states at the Fermi level = 5.74 states/eV per cell

Lattice parameters (Å, degrees): 4.267 14.009 4.435 90.00 90.00 90.00
Space group Cmcm (No. 63)
Unique sites:
In (0.000, 0.156, 0.250) x4
Te (0.000, 0.375, 0.250) x4